Record 1
Below is CrReSi2 after structural relaxation, with properties calculated at the PBE-GGA level.

a b c (Å): 4.3744 2.8293 4.2158
angles (deg): 90.00 90.00 90.00
Closest atoms and distances in Å follow each position.
Atoms (fractional coordinates):
1 Si 0.5000 0.3750 0.2122  4 Re 2.52-2.55, 2 Cr 2.56, 4 Si 2.70
2 Cr 0.0000 0.3750 0.5265  6 Si 2.47-2.60, 4 Re 2.72
3 Re 0.5000 0.8750 0.7161  6 Si 2.52-2.59, 4 Cr 2.72
4 Si 0.0000 0.8751 0.0452  4 Cr 2.47-2.60, 2 Re 2.59, 4 Si 2.70

## Properties
The space group is Pmm2. As for the calculated total energy: -8.32 eV/atom. Its theoretical density is 9.37 g cm⁻³.



Record 2
Below is CrReSi2Sn after structural relaxation, with properties calculated at the PBE-GGA level.

a b c (Å): 4.9751 4.9076 4.9751
angles (deg): 90.00 90.00 90.00
Closest atoms and distances in Å follow each position.
Atoms (fractional coordinates):
1 Sn 0.0000 0.0000 0.0000  2 Cr 2.45, 4 Si 2.49
2 Cr 0.0000 0.5000 0.0000  2 Sn 2.45
3 Si 0.0000 0.0000 0.5000  2 Sn 2.49
4 Si 0.5000 0.0000 0.0000  2 Sn 2.49
5 Re 0.5000 0.5000 0.5000  8 Si 3.49, 4 Cr 3.52

## Properties
The space group is P4/mmm. As for the calculated total energy: -5.21 eV/atom. Its theoretical density is 5.65 g cm⁻³.



Record 3
Below is CrRe2SiTc after structural relaxation, with properties calculated at the PBE-GGA level.

a b c (Å): 4.6780 4.4950 4.6780
angles (deg): 90.00 90.00 90.00
Closest atoms and distances in Å follow each position.
Atoms (fractional coordinates):
1 Tc 0.0000 0.0000 0.0000  2 Cr 2.25, 4 Re 2.34
2 Re 0.5000 0.0000 0.0000  2 Tc 2.34
3 Re 0.0000 0.0000 0.5000  2 Tc 2.34
4 Si 0.5000 0.5000 0.5000  8 Re 3.24, 4 Cr 3.31
5 Cr 0.0000 0.5000 0.0000  2 Tc 2.25

## Properties
The space group is P4/mmm. As for the calculated total energy: -8.11 eV/atom. Its theoretical density is 9.29 g cm⁻³.



Record 4
Below is ThCrReSi2 after structural relaxation, with properties calculated at the PBE-GGA level.

a b c (Å): 4.1121 4.1121 5.9691
angles (deg): 110.15 110.15 90.00
Closest atoms and distances in Å follow each position.
Atoms (fractional coordinates):
1 Th 0.0000 0.0000 0.0000  8 Si 3.17, 4 Cr 3.32, 4 Re 3.32
2 Cr 0.2500 0.7500 0.5000  4 Si 2.45
3 Re 0.7500 0.2500 0.5000  4 Si 2.45
4 Si 0.3783 0.3783 0.7567  2 Re 2.45, 2 Cr 2.45, 1 Si 2.54
5 Si 0.6217 0.6217 0.2433  2 Cr 2.45, 2 Re 2.45, 1 Si 2.54

## Properties
The space group is I-4m2. As for the calculated total energy: -8.58 eV/atom. Its theoretical density is 9.92 g cm⁻³.



Record 5
Below is V2CrReSi after structural relaxation, with properties calculated at the PBE-GGA level.

a b c (Å): 4.2116 4.5236 4.2116
angles (deg): 90.00 90.00 90.00
Closest atoms and distances in Å follow each position.
Atoms (fractional coordinates):
1 V 0.5000 0.0000 0.0000  2 Cr 2.11
2 Si 0.5000 0.5000 0.5000  4 Re 2.98, 8 V 3.09
3 Cr 0.0000 0.0000 0.0000  4 V 2.11, 2 Re 2.26
4 Re 0.0000 0.5000 0.0000  2 Cr 2.26
5 V 0.0000 0.0000 0.5000  2 Cr 2.11

## Properties
The space group is P4/mmm. As for the calculated total energy: -8.07 eV/atom. Its theoretical density is 7.62 g cm⁻³.



Record 6
Below is VCr2ReSi after structural relaxation, with properties calculated at the PBE-GGA level.

a b c (Å): 4.6203 4.5844 4.6203
angles (deg): 90.00 90.00 90.00
Closest atoms and distances in Å follow each position.
Atoms (fractional coordinates):
1 Si 0.0000 0.5000 0.0000  2 Re 2.29
2 Re 0.0000 0.0000 0.0000  2 Si 2.29, 4 Cr 2.31
3 Cr 0.5000 0.0000 0.0000  2 Re 2.31
4 V 0.5000 0.5000 0.5000  8 Cr 3.25, 4 Si 3.27
5 Cr 0.0000 0.0000 0.5000  2 Re 2.31

## Properties
The space group is P4/mmm. As for the calculated total energy: -7.81 eV/atom. Its theoretical density is 6.26 g cm⁻³.



Record 7
Below is CrReSiW after structural relaxation, with properties calculated at the PBE-GGA level.

a b c (Å): 4.2734 4.2734 4.2734
angles (deg): 60.00 60.00 60.00
Closest atoms and distances in Å follow each position.
Atoms (fractional coordinates):
1 Cr 0.0000 0.0000 0.0000  4 W 2.62, 4 Si 2.62
2 W 0.2500 0.2500 0.2500  4 Cr 2.62, 4 Re 2.62
3 Si 0.7500 0.7500 0.7500  4 Re 2.62, 4 Cr 2.62
4 Re 0.5000 0.5000 0.5000  4 Si 2.62, 4 W 2.62

## Properties
The space group is F-43m. As for the calculated total energy: -10.16 eV/atom. Its theoretical density is 13.54 g cm⁻³.



Record 8
Below is ZrCrRe2Si after structural relaxation, with properties calculated at the PBE-GGA level.

a b c (Å): 4.7517 4.7825 4.7517
angles (deg): 90.00 90.00 90.00
Closest atoms and distances in Å follow each position.
Atoms (fractional coordinates):
1 Re 0.0000 0.0000 0.5000  2 Zr 2.38
2 Zr 0.0000 0.0000 0.0000  4 Re 2.38, 2 Si 2.39
3 Cr 0.5000 0.5000 0.5000  4 Si 3.36, 8 Re 3.37
4 Re 0.5000 0.0000 0.0000  2 Zr 2.38
5 Si 0.0000 0.5000 0.0000  2 Zr 2.39

## Properties
The space group is P4/mmm. As for the calculated total energy: -7.12 eV/atom. Its theoretical density is 8.36 g cm⁻³.



Record 9
Below is SmCrRe after structural relaxation, with properties calculated at the PBE-GGA level.

a b c (Å): 4.0195 5.9283 5.2882
angles (deg): 90.00 90.00 109.82
Closest atoms and distances in Å follow each position.
Atoms (fractional coordinates):
1 Cr 0.0000 0.0000 0.5000  4 Re 2.48, 2 Cr 2.64
2 Sm 0.7179 0.4358 0.2500  5 Re 3.02-3.25
3 Sm 0.2821 0.5642 0.7500  5 Re 3.02-3.25
4 Re 0.4473 0.8947 0.2500  4 Cr 2.48
5 Re 0.5527 0.1053 0.7500  4 Cr 2.48
6 Cr 0.0000 0.0000 0.0000  4 Re 2.48, 2 Cr 2.64

## Properties
The space group is Cmcm. The calculation puts the energy of formation at 0.5 eV per formula unit. As for the calculated total energy: -8.77 eV/atom. Its theoretical density is 10.89 g cm⁻³.



Record 10
Below is Cr4ReSn after structural relaxation, with properties calculated at the PBE-GGA level.

a b c (Å): 4.8501 4.8501 4.8501
angles (deg): 60.00 60.00 60.00
Closest atoms and distances in Å follow each position.
Atoms (fractional coordinates):
1 Cr 0.6262 0.6262 0.1215  6 Cr 2.40-2.45
2 Cr 0.6262 0.6262 0.6262  6 Cr 2.40-2.45
3 Cr 0.6262 0.1215 0.6262  6 Cr 2.40-2.45
4 Re 0.2500 0.2500 0.2500  12 Cr 2.85, 4 Sn 2.97
5 Cr 0.1215 0.6262 0.6262  6 Cr 2.40-2.45
6 Sn 0.0000 0.0000 0.0000  12 Cr 2.84, 4 Re 2.97

## Properties
The space group is F-43m. The calculation puts the energy of formation at 1.1 eV per formula unit. As for the calculated total energy: -8.97 eV/atom. Its theoretical density is 10.56 g cm⁻³.



Record 11
Below is Cr3ReSn after structural relaxation, with properties calculated at the PBE-GGA level.

a b c (Å): 4.5363 4.5363 4.5363
angles (deg): 90.00 90.00 90.00
Closest atoms and distances in Å follow each position.
Atoms (fractional coordinates):
1 Sn 0.0000 0.0000 0.0000  6 Cr 2.27
2 Cr 0.5000 0.0000 0.0000  2 Sn 2.27
3 Cr 0.0000 0.0000 0.5000  2 Sn 2.27
4 Cr 0.0000 0.5000 0.0000  2 Sn 2.27
5 Re 0.5000 0.5000 0.5000  12 Cr 3.21

## Properties
The space group is Pm-3m. The calculation puts the energy of formation at 12.9 eV per formula unit. The energy above the most stable polymorph in this dataset is 1376 meV per atom. As for the calculated total energy: -6.49 eV/atom. Its theoretical density is 8.20 g cm⁻³.



Record 12
Below is Cr3ReSn after structural relaxation, with properties calculated at the PBE-GGA level.

a b c (Å): 4.7064 4.7064 4.7064
angles (deg): 90.00 90.00 90.00
Closest atoms and distances in Å follow each position.
Atoms (fractional coordinates):
1 Cr 0.0000 0.0000 0.5000  2 Re 2.35
2 Sn 0.5000 0.5000 0.5000  12 Cr 3.33
3 Cr 0.0000 0.5000 0.0000  2 Re 2.35
4 Re 0.0000 0.0000 0.0000  6 Cr 2.35
5 Cr 0.5000 0.0000 0.0000  2 Re 2.35

## Properties
The space group is Pm-3m. The calculation puts the energy of formation at 6.0 eV per formula unit. The energy above the most stable polymorph in this dataset is 0 meV per atom. As for the calculated total energy: -7.87 eV/atom. Its theoretical density is 7.34 g cm⁻³.



Record 13
Below is Sr2CrRe after structural relaxation, with properties calculated at the PBE-GGA level.

a b c (Å): 5.1675 5.1675 5.1675
angles (deg): 120.17 120.17 89.71
Closest atoms and distances in Å follow each position.
Atoms (fractional coordinates):
1 Re 0.7500 0.2500 0.5000  4 Cr 3.16, 4 Sr 3.16
2 Cr 0.5000 0.5000 0.0000  4 Re 3.16, 4 Sr 3.16
3 Sr 0.2500 0.7500 0.5000  4 Cr 3.16, 4 Sr 3.16
4 Sr 0.0000 0.0000 0.0000  4 Re 3.16, 4 Sr 3.16

## Properties
The space group is I-4m2. The calculation puts the energy of formation at 4.6 eV per formula unit. The energy above the most stable polymorph in this dataset is 555 meV per atom. As for the calculated total energy: -5.20 eV/atom. Its theoretical density is 7.05 g cm⁻³.



Record 14
Below is Sr2CrRe after structural relaxation, with properties calculated at the PBE-GGA level.

a b c (Å): 4.6874 4.6828 4.7305
angles (deg): 90.00 90.00 90.00
Closest atoms and distances in Å follow each position.
Atoms (fractional coordinates):
1 Re 0.0000 0.5000 0.5000  4 Cr 3.31, 8 Sr 3.33
2 Sr 0.5000 0.5000 0.0000  4 Sr 3.31, 4 Cr 3.33, 4 Re 3.33
3 Cr 0.5000 0.0000 0.5000  4 Re 3.31, 8 Sr 3.33
4 Sr 0.0000 0.0000 0.0000  4 Sr 3.31, 4 Re 3.33, 4 Cr 3.33

## Properties
The space group is P4/mmm. The calculation puts the energy of formation at 4.9 eV per formula unit. The energy above the most stable polymorph in this dataset is 635 meV per atom. As for the calculated total energy: -5.12 eV/atom. Its theoretical density is 6.61 g cm⁻³.



Record 15
Below is Sr2CrRe after structural relaxation, with properties calculated at the PBE-GGA level.

a b c (Å): 5.7670 5.7670 3.1929
angles (deg): 90.00 90.00 90.00
Closest atoms and distances in Å follow each position.
Atoms (fractional coordinates):
1 Sr 0.0000 0.0000 0.0000  2 Sr 3.19, 4 Cr 3.30, 4 Re 3.30
2 Sr 0.5000 0.5000 0.0000  2 Sr 3.19, 4 Cr 3.30, 4 Re 3.30
3 Re 0.0000 0.5000 0.5000  2 Re 3.19, 8 Sr 3.30
4 Cr 0.5000 0.0000 0.5000  2 Cr 3.19, 8 Sr 3.30

## Properties
The space group is P4/mmm. The calculation puts the energy of formation at 5.1 eV per formula unit. The energy above the most stable polymorph in this dataset is 663 meV per atom. As for the calculated total energy: -5.10 eV/atom. Its theoretical density is 6.47 g cm⁻³.



Record 16
Below is Sr4CrRe after structural relaxation, with properties calculated at the PBE-GGA level.

a b c (Å): 6.7656 6.7656 6.7656
angles (deg): 60.00 60.00 60.00
Closest atoms and distances in Å follow each position.
Atoms (fractional coordinates):
1 Re 0.0000 0.0000 0.0000  12 Sr 3.96, 4 Cr 4.14
2 Sr 0.3743 0.3743 0.8772  6 Sr 3.36-3.40
3 Sr 0.8772 0.3743 0.3743  6 Sr 3.36-3.40
4 Cr 0.7500 0.7500 0.7500  12 Sr 3.97, 4 Re 4.14
5 Sr 0.3743 0.8772 0.3743  6 Sr 3.36-3.40
6 Sr 0.3743 0.3743 0.3743  6 Sr 3.36-3.40

## Properties
The space group is F-43m. The calculation puts the energy of formation at 9.5 eV per formula unit. As for the calculated total energy: -3.22 eV/atom. Its theoretical density is 4.46 g cm⁻³.



Record 17
Below is Sr2CrRe after structural relaxation, with properties calculated at the PBE-GGA level.

a b c (Å): 8.5759 8.5759 6.7603
angles (deg): 50.63 50.63 90.00
Closest atoms and distances in Å follow each position.
Atoms (fractional coordinates):
1 Sr 0.6393 0.1250 0.2500  2 Sr 3.00, 2 Re 3.04, 2 Cr 3.21
2 Sr 0.3750 0.3607 0.7500  2 Sr 3.00, 2 Re 3.04, 2 Cr 3.21
3 Cr 0.2500 0.7500 0.5000  2 Re 2.99, 4 Sr 3.21
4 Re 0.7500 0.2500 0.5000  2 Cr 2.99, 4 Sr 3.04
5 Re 0.0000 0.0000 0.0000  2 Cr 2.99, 4 Sr 3.04
6 Sr 0.1107 0.6250 0.2500  2 Sr 3.00, 2 Re 3.04, 2 Cr 3.21
7 Sr 0.8750 0.8893 0.7500  2 Sr 3.00, 2 Re 3.04, 2 Cr 3.21
8 Cr 0.5000 0.5000 0.0000  2 Re 2.99, 4 Sr 3.21

## Properties
The space group is I-42d. The calculation puts the energy of formation at 5.9 eV per formula unit. The energy above the most stable polymorph in this dataset is 869 meV per atom. As for the calculated total energy: -4.89 eV/atom. Its theoretical density is 6.25 g cm⁻³.



Record 18
Below is Sr2CrRe after structural relaxation, with properties calculated at the PBE-GGA level.

a b c (Å): 3.3949 3.3942 10.0049
angles (deg): 69.58 90.00 90.00
Closest atoms and distances in Å follow each position.
Atoms (fractional coordinates):
1 Sr 0.0000 0.0663 0.9241  1 Cr 3.14, 4 Sr 3.39, 4 Re 3.44-3.45
2 Cr 0.0000 0.4118 0.5898  4 Re 2.49
3 Re 0.5000 0.8384 0.6609  4 Cr 2.49
4 Sr 0.5000 0.1835 0.3252  1 Re 3.15, 4 Sr 3.39, 4 Cr 3.45

## Properties
The space group is Pm. The calculation puts the energy of formation at 2.4 eV per formula unit. The energy above the most stable polymorph in this dataset is 0 meV per atom. As for the calculated total energy: -5.76 eV/atom. Its theoretical density is 6.35 g cm⁻³.



Record 19
Below is Sr2CrRe after structural relaxation, with properties calculated at the PBE-GGA level.

a b c (Å): 5.6429 5.6429 5.6429
angles (deg): 128.55 128.52 75.76
Closest atoms and distances in Å follow each position.
Atoms (fractional coordinates):
1 Cr 0.2500 0.7500 0.5000  8 Sr 3.31, 4 Re 3.46
2 Sr 0.5002 0.5002 0.0000  4 Re 3.31, 4 Cr 3.31, 4 Sr 3.46
3 Sr 0.9998 0.9998 0.0000  4 Re 3.31, 4 Cr 3.31, 4 Sr 3.46
4 Re 0.7500 0.2500 0.5000  8 Sr 3.31, 4 Cr 3.46

## Properties
The space group is I4/mmm. The calculation puts the energy of formation at 4.8 eV per formula unit. The energy above the most stable polymorph in this dataset is 612 meV per atom. As for the calculated total energy: -5.15 eV/atom. Its theoretical density is 6.42 g cm⁻³.



Record 20
Below is SrCrRe3 after structural relaxation, with properties calculated at the PBE-GGA level.

a b c (Å): 4.6235 4.6235 4.6235
angles (deg): 90.00 90.00 90.00
Closest atoms and distances in Å follow each position.
Atoms (fractional coordinates):
1 Cr 0.0000 0.0000 0.0000  6 Re 2.31
2 Re 0.0000 0.5000 0.0000  2 Cr 2.31
3 Re 0.5000 0.0000 0.0000  2 Cr 2.31
4 Sr 0.5000 0.5000 0.5000  12 Re 3.27
5 Re 0.0000 0.0000 0.5000  2 Cr 2.31

## Properties
The space group is Pm-3m. The calculation puts the energy of formation at 6.7 eV per formula unit. The energy above the most stable polymorph in this dataset is 0 meV per atom. As for the calculated total energy: -8.40 eV/atom. Its theoretical density is 11.73 g cm⁻³.



DOS at the Fermi energy (states/eV per cell)
3.07, 3.13, 5.70, 3.95, 5.44, 7.00, 2.89, 7.46, 5.70, 8.05, 10.81, 4.22, 5.74, 4.82, 4.73, 9.84, 9.81, 3.88, 4.89, 4.42